The following is a DFT calculation (PBE) of an optimized crystal structure of Zr2Zn9Ni3.

Calculated values
N(E_F) = 13.689 states/eV per cell
energy of formation from the pure elements = -0.25 eV per atom

extended XYZ file:
```
28
Lattice="6.262 -3.673 0.000 6.262 3.673 0.000 -4.199 0.000 9.058" Properties=species:S:1:pos:R:3 pbc="T T T"
Zr 0.884 0.695 2.220
Zr -1.215 -0.695 6.749
Zr 9.540 0.695 2.309
Zr 7.440 -0.695 6.838
Zn 5.201 2.930 0.716
Zn 5.223 2.930 3.813
Zn 3.620 1.504 2.351
Zn 1.021 0.563 5.229
Zn 0.993 0.536 8.498
Zn 3.120 -0.563 0.700
Zn 3.112 0.826 6.794
Zn 6.804 1.504 2.178
Zn 3.093 -0.536 3.969
Zn 5.231 0.536 5.090
Zn 1.520 -1.504 6.880
Zn 5.212 -0.826 2.265
Zn 5.204 0.563 8.359
Zn 7.331 -0.536 0.561
Zn 7.304 -0.563 3.829
Zn 4.704 -1.504 6.707
Zn 3.101 -2.930 5.245
Zn 3.123 -2.930 8.342
Ni 3.131 1.836 0.000
Ni 3.062 2.004 4.675
Ni 3.163 2.004 8.913
Ni 1.031 -1.836 4.529
Ni 5.162 -2.004 0.145
Ni 5.262 -2.004 4.384
```